P | # InBrCl2 | the Alexandria database | PBE | relaxed
data_InBrCl2
_cell_length_a 6.994
_cell_length_b 6.994
_cell_length_c 3.759
_cell_angle_alpha 90.00
_cell_angle_beta 90.00
_cell_angle_gamma 134.23
_symmetry_space_group_name_H-M 'P 1'
_symmetry_Int_Tables_number 1
loop_
_symmetry_equiv_pos_as_xyz
'x,y,z'
loop_
_atom_site_label
_atom_site_type_symbol
_atom_site_fract_x
_atom_site_fract_y
_atom_site_fract_z
_atom_site_occupancy
In1 In 0.000 0.000 0.000 1
Br1 Br 0.500 0.500 0.000 1
Cl1 Cl 0.135 0.865 0.500 1
Cl2 Cl 0.865 0.135 0.500 1
# **Space group**: Cmmm, No. 65


Q | # InBrCl2 | the Alexandria database | PBE | relaxed
data_InBrCl2
_cell_length_a 11.017
_cell_length_b 11.017
_cell_length_c 11.017
_cell_angle_alpha 19.51
_cell_angle_beta 19.51
_cell_angle_gamma 19.51
_symmetry_space_group_name_H-M 'P 1'
_symmetry_Int_Tables_number 1
loop_
_symmetry_equiv_pos_as_xyz
'x,y,z'
loop_
_atom_site_label
_atom_site_type_symbol
_atom_site_fract_x
_atom_site_fract_y
_atom_site_fract_z
_atom_site_occupancy
In1 In 0.000 0.000 0.000 1
Br1 Br 0.500 0.500 0.500 1
Cl1 Cl 0.072 0.072 0.072 1
Cl2 Cl 0.928 0.928 0.928 1
# **Space group**: R-3m, No. 166


P ends up most stable, edging out the next structure by 0.871 eV/atom.


P | # InBrCl2 | the Alexandria database | PBE | relaxed
data_InBrCl2
_cell_length_a 8.182
_cell_length_b 8.182
_cell_length_c 8.182
_cell_angle_alpha 36.08
_cell_angle_beta 36.08
_cell_angle_gamma 36.08
_symmetry_space_group_name_H-M 'P 1'
_symmetry_Int_Tables_number 1
loop_
_symmetry_equiv_pos_as_xyz
'x,y,z'
loop_
_atom_site_label
_atom_site_type_symbol
_atom_site_fract_x
_atom_site_fract_y
_atom_site_fract_z
_atom_site_occupancy
In1 In 0.000 0.000 0.000 1
Br1 Br 0.500 0.500 0.500 1
Cl1 Cl 0.394 0.394 0.394 1
Cl2 Cl 0.606 0.606 0.606 1
# **Space group**: R-3m, No. 166


Q | # InBrCl2 | the Alexandria database | PBE | relaxed
data_InBrCl2
_cell_length_a 6.708
_cell_length_b 6.708
_cell_length_c 6.823
_cell_angle_alpha 107.29
_cell_angle_beta 107.29
_cell_angle_gamma 110.06
_symmetry_space_group_name_H-M 'P 1'
_symmetry_Int_Tables_number 1
loop_
_symmetry_equiv_pos_as_xyz
'x,y,z'
loop_
_atom_site_label
_atom_site_type_symbol
_atom_site_fract_x
_atom_site_fract_y
_atom_site_fract_z
_atom_site_occupancy
In1 In 0.087 0.913 0.500 1
In2 In 0.913 0.087 0.000 1
Br1 Br 0.688 0.881 0.210 1
Br2 Br 0.881 0.688 0.710 1
Cl1 Cl 0.158 0.285 0.820 1
Cl2 Cl 0.285 0.158 0.320 1
Cl3 Cl 0.461 0.888 0.657 1
Cl4 Cl 0.888 0.461 0.157 1
# **Space group**: Cc, No. 9


R | # InBrCl2 | the Alexandria database | PBE | relaxed
data_InBrCl2
_cell_length_a 4.793
_cell_length_b 4.819
_cell_length_c 5.218
_cell_angle_alpha 90.00
_cell_angle_beta 90.00
_cell_angle_gamma 90.00
_symmetry_space_group_name_H-M 'P 1'
_symmetry_Int_Tables_number 1
loop_
_symmetry_equiv_pos_as_xyz
'x,y,z'
loop_
_atom_site_label
_atom_site_type_symbol
_atom_site_fract_x
_atom_site_fract_y
_atom_site_fract_z
_atom_site_occupancy
In1 In 0.000 0.000 0.000 1
Br1 Br 0.500 0.500 0.204 1
Cl1 Cl 0.000 0.000 0.500 1
Cl2 Cl 0.500 0.500 0.696 1
# **Space group**: Pmm2, No. 25


S | # InBrCl2 | the Alexandria database | PBE | relaxed
data_InBrCl2
_cell_length_a 3.430
_cell_length_b 3.430
_cell_length_c 9.726
_cell_angle_alpha 90.00
_cell_angle_beta 90.00
_cell_angle_gamma 90.00
_symmetry_space_group_name_H-M 'P 1'
_symmetry_Int_Tables_number 1
loop_
_symmetry_equiv_pos_as_xyz
'x,y,z'
loop_
_atom_site_label
_atom_site_type_symbol
_atom_site_fract_x
_atom_site_fract_y
_atom_site_fract_z
_atom_site_occupancy
In1 In 0.000 0.000 0.000 1
Br1 Br 0.000 0.000 0.500 1
Cl1 Cl 0.500 0.500 0.162 1
Cl2 Cl 0.500 0.500 0.838 1
# **Space group**: P4/mmm, No. 123


Q ends up most stable, edging out the next structure by 0.508 eV/atom.


P | # InBrCl2 | the Alexandria database | PBE | relaxed
data_InBrCl2
_cell_length_a 3.807
_cell_length_b 7.321
_cell_length_c 7.321
_cell_angle_alpha 41.19
_cell_angle_beta 90.00
_cell_angle_gamma 90.00
_symmetry_space_group_name_H-M 'P 1'
_symmetry_Int_Tables_number 1
loop_
_symmetry_equiv_pos_as_xyz
'x,y,z'
loop_
_atom_site_label
_atom_site_type_symbol
_atom_site_fract_x
_atom_site_fract_y
_atom_site_fract_z
_atom_site_occupancy
In1 In 0.000 0.000 0.000 1
Br1 Br 0.500 0.139 0.139 1
Cl1 Cl 0.000 0.488 0.488 1
Cl2 Cl 0.500 0.874 0.874 1
# **Space group**: Amm2, No. 38


Q | # InBrCl2 | the Alexandria database | PBE | relaxed
data_InBrCl2
_cell_length_a 4.011
_cell_length_b 4.203
_cell_length_c 6.562
_cell_angle_alpha 90.00
_cell_angle_beta 90.00
_cell_angle_gamma 90.00
_symmetry_space_group_name_H-M 'P 1'
_symmetry_Int_Tables_number 1
loop_
_symmetry_equiv_pos_as_xyz
'x,y,z'
loop_
_atom_site_label
_atom_site_type_symbol
_atom_site_fract_x
_atom_site_fract_y
_atom_site_fract_z
_atom_site_occupancy
In1 In 0.000 0.000 0.000 1
Br1 Br 0.500 0.000 0.500 1
Cl1 Cl 0.000 0.500 0.500 1
Cl2 Cl 0.500 0.500 0.000 1
# **Space group**: Pmmm, No. 47


P ends up most stable, edging out the next structure by 0.677 eV/atom.


P | # InBrCl2 | the Alexandria database | PBE | relaxed
data_InBrCl2
_cell_length_a 7.545
_cell_length_b 7.545
_cell_length_c 7.545
_cell_angle_alpha 31.85
_cell_angle_beta 31.85
_cell_angle_gamma 31.85
_symmetry_space_group_name_H-M 'P 1'
_symmetry_Int_Tables_number 1
loop_
_symmetry_equiv_pos_as_xyz
'x,y,z'
loop_
_atom_site_label
_atom_site_type_symbol
_atom_site_fract_x
_atom_site_fract_y
_atom_site_fract_z
_atom_site_occupancy
In1 In 0.000 0.000 0.000 1
Br1 Br 0.735 0.735 0.735 1
Cl1 Cl 0.270 0.270 0.270 1
Cl2 Cl 0.493 0.493 0.493 1
# **Space group**: R3m, No. 160


Q | # InBrCl2 | the Alexandria database | PBE | relaxed
data_InBrCl2
_cell_length_a 7.781
_cell_length_b 7.781
_cell_length_c 7.781
_cell_angle_alpha 30.61
_cell_angle_beta 30.61
_cell_angle_gamma 30.61
_symmetry_space_group_name_H-M 'P 1'
_symmetry_Int_Tables_number 1
loop_
_symmetry_equiv_pos_as_xyz
'x,y,z'
loop_
_atom_site_label
_atom_site_type_symbol
_atom_site_fract_x
_atom_site_fract_y
_atom_site_fract_z
_atom_site_occupancy
In1 In 0.000 0.000 0.000 1
Br1 Br 0.500 0.500 0.500 1
Cl1 Cl 0.273 0.273 0.273 1
Cl2 Cl 0.727 0.727 0.727 1
# **Space group**: R-3m, No. 166


P ends up most stable, edging out the next structure by 0.015 eV/atom.


P | # RbInPtBrCl | the Alexandria database | PBE | relaxed
data_RbInPtBrCl
_cell_length_a 4.754
_cell_length_b 5.306
_cell_length_c 6.726
_cell_angle_alpha 90.27
_cell_angle_beta 93.29
_cell_angle_gamma 90.12
_symmetry_space_group_name_H-M 'P 1'
_symmetry_Int_Tables_number 1
loop_
_symmetry_equiv_pos_as_xyz
'x,y,z'
loop_
_atom_site_label
_atom_site_type_symbol
_atom_site_fract_x
_atom_site_fract_y
_atom_site_fract_z
_atom_site_occupancy
Rb1 Rb 0.000 0.000 0.000 1
In1 In 0.372 0.504 0.541 1
Pt1 Pt 0.351 0.999 0.499 1
Br1 Br 0.501 0.500 0.973 1
Cl1 Cl 0.851 0.084 0.491 1
# **Space group**: P1, No. 1


Q | # RbInPtBrCl | the Alexandria database | PBE | relaxed
data_RbInPtBrCl
_cell_length_a 8.596
_cell_length_b 8.596
_cell_length_c 4.597
_cell_angle_alpha 90.31
_cell_angle_beta 90.31
_cell_angle_gamma 29.11
_symmetry_space_group_name_H-M 'P 1'
_symmetry_Int_Tables_number 1
loop_
_symmetry_equiv_pos_as_xyz
'x,y,z'
loop_
_atom_site_label
_atom_site_type_symbol
_atom_site_fract_x
_atom_site_fract_y
_atom_site_fract_z
_atom_site_occupancy
Rb1 Rb 0.000 0.000 0.000 1
In1 In 0.713 0.713 0.002 1
Pt1 Pt 0.309 0.309 0.005 1
Br1 Br 0.363 0.363 0.506 1
Cl1 Cl 0.586 0.586 0.500 1
# **Space group**: Cm, No. 8


Q ends up most stable, edging out the next structure by 0.016 eV/atom.


P | # InSeBr2Cl | the Alexandria database | PBE | relaxed
data_InSeBr2Cl
_cell_length_a 5.357
_cell_length_b 5.357
_cell_length_c 5.696
_cell_angle_alpha 90.00
_cell_angle_beta 90.00
_cell_angle_gamma 90.00
_symmetry_space_group_name_H-M 'P 1'
_symmetry_Int_Tables_number 1
loop_
_symmetry_equiv_pos_as_xyz
'x,y,z'
loop_
_atom_site_label
_atom_site_type_symbol
_atom_site_fract_x
_atom_site_fract_y
_atom_site_fract_z
_atom_site_occupancy
In1 In 0.000 0.000 0.000 1
Se1 Se 0.000 0.000 0.500 1
Br1 Br 0.000 0.500 0.000 1
Br2 Br 0.500 0.000 0.000 1
Cl1 Cl 0.500 0.500 0.500 1
# **Space group**: P4/mmm, No. 123


Q | # InSeBr2Cl | the Alexandria database | PBE | relaxed
data_InSeBr2Cl
_cell_length_a 5.461
_cell_length_b 5.461
_cell_length_c 5.550
_cell_angle_alpha 90.00
_cell_angle_beta 90.00
_cell_angle_gamma 90.00
_symmetry_space_group_name_H-M 'P 1'
_symmetry_Int_Tables_number 1
loop_
_symmetry_equiv_pos_as_xyz
'x,y,z'
loop_
_atom_site_label
_atom_site_type_symbol
_atom_site_fract_x
_atom_site_fract_y
_atom_site_fract_z
_atom_site_occupancy
In1 In 0.000 0.000 0.000 1
Se1 Se 0.500 0.500 0.000 1
Br1 Br 0.000 0.500 0.500 1
Br2 Br 0.500 0.000 0.500 1
Cl1 Cl 0.500 0.500 0.500 1
# **Space group**: P4/mmm, No. 123


P ends up most stable, edging out the next structure by 0.228 eV/atom.


P | # InSnBr2Cl | the Alexandria database | PBE | relaxed
data_InSnBr2Cl
_cell_length_a 5.849
_cell_length_b 5.849
_cell_length_c 5.502
_cell_angle_alpha 90.00
_cell_angle_beta 90.00
_cell_angle_gamma 90.00
_symmetry_space_group_name_H-M 'P 1'
_symmetry_Int_Tables_number 1
loop_
_symmetry_equiv_pos_as_xyz
'x,y,z'
loop_
_atom_site_label
_atom_site_type_symbol
_atom_site_fract_x
_atom_site_fract_y
_atom_site_fract_z
_atom_site_occupancy
In1 In 0.000 0.000 0.000 1
Sn1 Sn 0.500 0.500 0.500 1
Br1 Br 0.000 0.500 0.500 1
Br2 Br 0.500 0.000 0.500 1
Cl1 Cl 0.500 0.500 0.000 1
# **Space group**: P4/mmm, No. 123


Q | # InSnBr2Cl | the Alexandria database | PBE | relaxed
data_InSnBr2Cl
_cell_length_a 8.055
_cell_length_b 8.055
_cell_length_c 8.055
_cell_angle_alpha 119.52
_cell_angle_beta 119.52
_cell_angle_gamma 90.83
_symmetry_space_group_name_H-M 'P 1'
_symmetry_Int_Tables_number 1
loop_
_symmetry_equiv_pos_as_xyz
'x,y,z'
loop_
_atom_site_label
_atom_site_type_symbol
_atom_site_fract_x
_atom_site_fract_y
_atom_site_fract_z
_atom_site_occupancy
In1 In 0.000 0.500 0.500 1
In2 In 0.500 0.000 0.500 1
Sn1 Sn 0.285 0.285 0.000 1
Sn2 Sn 0.785 0.785 0.000 1
Br1 Br 0.110 0.610 0.147 1
Br2 Br 0.463 0.963 0.853 1
Br3 Br 0.610 0.463 0.500 1
Br4 Br 0.963 0.110 0.500 1
Cl1 Cl 0.016 0.016 0.000 1
Cl2 Cl 0.516 0.516 0.000 1
# **Space group**: I4cm, No. 108


Q ends up most stable, edging out the next structure by 0.048 eV/atom.


P | # SrInBrCl2 | the Alexandria database | PBE | relaxed
data_SrInBrCl2
_cell_length_a 7.966
_cell_length_b 4.744
_cell_length_c 9.744
_cell_angle_alpha 90.00
_cell_angle_beta 104.29
_cell_angle_gamma 90.00
_symmetry_space_group_name_H-M 'P 1'
_symmetry_Int_Tables_number 1
loop_
_symmetry_equiv_pos_as_xyz
'x,y,z'
loop_
_atom_site_label
_atom_site_type_symbol
_atom_site_fract_x
_atom_site_fract_y
_atom_site_fract_z
_atom_site_occupancy
Sr1 Sr 0.244 0.250 0.438 1
Sr2 Sr 0.756 0.750 0.562 1
In1 In 0.261 0.750 0.001 1
In2 In 0.739 0.250 0.999 1
Br1 Br 0.163 0.750 0.627 1
Br2 Br 0.837 0.250 0.373 1
Cl1 Cl 0.124 0.250 0.123 1
Cl2 Cl 0.418 0.750 0.349 1
Cl3 Cl 0.582 0.250 0.651 1
Cl4 Cl 0.876 0.750 0.877 1
# **Space group**: P2_1/m, No. 11


Q | # SrInBrCl2 | the Alexandria database | PBE | relaxed
data_SrInBrCl2
_cell_length_a 5.631
_cell_length_b 5.631
_cell_length_c 6.031
_cell_angle_alpha 90.00
_cell_angle_beta 90.00
_cell_angle_gamma 90.00
_symmetry_space_group_name_H-M 'P 1'
_symmetry_Int_Tables_number 1
loop_
_symmetry_equiv_pos_as_xyz
'x,y,z'
loop_
_atom_site_label
_atom_site_type_symbol
_atom_site_fract_x
_atom_site_fract_y
_atom_site_fract_z
_atom_site_occupancy
Sr1 Sr 0.000 0.000 0.000 1
In1 In 0.500 0.500 0.500 1
Br1 Br 0.000 0.000 0.500 1
Cl1 Cl 0.000 0.500 0.000 1
Cl2 Cl 0.500 0.000 0.000 1
# **Space group**: P4/mmm, No. 123


P ends up most stable, edging out the next structure by 0.100 eV/atom.